Record 1
TbPrNdSm2 GGA-PBE relaxed; formation energy from the elements = 0.26 eV per atom
1.0
-6.566 -0.471 1.486
0.495 -8.336 -0.454
1.398 -0.231 6.104
Tb Pr Nd Sm
2 2 2 4
Direct
0.576 0.000 0.250
0.424 0.000 0.750
0.000 0.000 0.000
0.000 0.000 0.500
0.162 0.500 0.750
0.838 0.500 0.250
0.690 0.695 0.751
0.690 0.305 0.749
0.310 0.695 0.251
0.310 0.305 0.249



Record 2
LaPrZn4 GGA-PBE relaxed; energy above the most stable polymorph in this dataset = 17 meV per atom; formation energy from the elements = -0.33 eV per atom
1.0
-0.216 -4.012 3.952
-0.435 -5.414 -1.503
4.371 -3.484 0.720
Pr Zn La
1 4 1
Direct
0.250 0.250 0.250
0.625 0.625 0.126
0.625 0.126 0.625
0.625 0.625 0.625
0.126 0.625 0.625
0.000 0.000 0.000



Record 3
NpS2O8F GGA-PBE relaxed; formation energy without anion corrections = -1.7303 eV per atom
1.0
6.017 0.057 -0.167
2.827 5.312 -0.167
0.185 0.112 4.694
Np S O F
1 2 8 1
Direct
0.000 0.000 0.000
0.665 0.665 0.285
0.335 0.335 0.715
0.596 0.205 0.827
0.801 0.801 0.160
0.671 0.671 0.591
0.329 0.329 0.409
0.199 0.199 0.840
0.205 0.596 0.827
0.795 0.404 0.173
0.404 0.795 0.173
0.000 0.000 0.500



Record 4
Ac3Pr4NpN8 GGA-PBE relaxed; formation energy without anion corrections = -1.1391 eV per atom
1.0
7.489 0.000 0.000
0.000 7.445 -0.036
-3.744 -3.742 5.297
Ac Pr Np N
3 4 1 8
Direct
0.500 0.500 0.000
0.500 0.500 0.500
0.000 0.500 0.500
0.500 0.000 0.000
0.500 0.000 0.500
0.000 0.000 0.000
0.000 0.000 0.500
0.000 0.500 0.000
0.223 0.730 0.008
0.222 0.730 0.445
0.246 0.238 0.492
0.785 0.730 0.008
0.215 0.270 0.992
0.754 0.762 0.508
0.778 0.270 0.555
0.777 0.270 0.992



Record 5
TiTe2Br GGA-PBE relaxed; energy above the most stable polymorph in this dataset = 333 meV per atom; formation energy without anion corrections = -0.1599 eV per atom
1.0
-5.094 -0.038 4.925
4.913 -0.541 5.077
0.206 5.712 5.353
Te Br Ti
4 2 2
Direct
0.544 0.125 0.250
0.206 0.625 0.250
0.375 0.456 0.750
0.875 0.794 0.750
0.000 0.000 0.000
0.750 0.250 0.500
0.500 0.500 0.000
0.250 0.750 0.500



Record 6
MgCoW2 GGA-PBE relaxed; formation energy from the elements = 0.41 eV per atom
1.0
5.079 0.040 0.020
2.027 4.658 -0.020
-3.005 -3.178 2.583
Co Mg W
1 1 2
Direct
0.509 0.509 0.000
0.265 0.765 0.500
0.985 0.985 0.000
0.741 0.241 0.500



Record 7
NaHPd GGA-PBE relaxed; VASP energy = -3.51 eV/atom
1.0
4.682 0.000 0.000
0.000 3.170 0.000
0.000 -1.585 2.745
Na Pd H
1 1 1
Direct
0.667 0.667 0.333
0.167 0.000 0.000
0.167 0.333 0.667



Record 8
AcPm3Y GGA-PBE relaxed; energy above the most stable polymorph in this dataset = 0 meV per atom; formation energy from the elements = 0.04 eV per atom
1.0
3.717 -0.488 0.354
0.916 8.548 2.118
0.849 0.254 11.430
Ac Pm Y
2 6 2
Direct
0.958 0.396 0.801
0.730 0.364 0.258
0.159 0.992 0.398
0.363 0.616 0.992
0.325 0.145 0.067
0.561 0.192 0.596
0.529 0.769 0.661
0.127 0.569 0.464
0.760 0.798 0.196
0.928 0.962 0.863



Record 9
BaCaPb GGA-PBE relaxed; formation energy from the elements = -0.59 eV per atom
1.0
-1.348 -0.912 -5.109
-5.346 -6.720 2.610
-7.524 6.318 0.856
Pb Ca Ba
4 4 4
Direct
0.750 0.726 0.609
0.250 0.274 0.391
0.750 0.226 0.891
0.250 0.774 0.109
0.750 0.856 0.930
0.250 0.144 0.070
0.750 0.356 0.570
0.250 0.644 0.430
0.750 0.978 0.319
0.250 0.022 0.681
0.750 0.478 0.181
0.250 0.522 0.819



Record 10
Ga6AgHg GGA-PBE relaxed; formation energy from the elements = 0.08 eV per atom
1.0
-0.410 -0.585 -2.771
4.784 -5.595 0.473
-6.245 -5.170 2.015
Ga Ag Hg
6 1 1
Direct
0.500 0.848 0.265
0.000 0.172 0.742
0.000 0.172 0.258
0.500 0.848 0.735
0.000 0.657 0.500
0.500 0.307 0.000
0.500 0.338 0.500
0.000 0.659 0.000



Record 11
AlV9W2 GGA-PBE relaxed; formation energy from the elements = 0.20 eV per atom
1.0
5.003 0.000 0.000
2.502 4.333 0.000
2.502 1.444 8.034
Al V W
1 9 2
Direct
0.000 0.000 0.000
0.668 0.668 0.997
0.332 0.332 0.003
0.500 0.500 0.500
0.414 0.414 0.252
0.920 0.414 0.252
0.414 0.920 0.252
0.586 0.586 0.748
0.586 0.080 0.748
0.080 0.586 0.748
0.854 0.854 0.439
0.146 0.146 0.561



Record 12
SmTc4O12 GGA-PBE relaxed; formation energy without anion corrections = -1.6366 eV per atom
1.0
6.629 0.000 0.000
-2.210 6.250 0.000
-2.210 -3.125 5.413
Sm Tc O
1 4 12
Direct
0.000 0.000 0.000
0.000 0.500 0.000
0.500 0.000 0.000
0.500 0.500 0.500
0.000 0.000 0.500
0.770 0.256 0.026
0.256 0.486 0.230
0.974 0.230 0.744
0.256 0.026 0.770
0.026 0.770 0.256
0.744 0.514 0.770
0.486 0.230 0.256
0.514 0.770 0.744
0.744 0.974 0.230
0.770 0.744 0.514
0.230 0.256 0.486
0.230 0.744 0.974